Entry 1:
## TbEr5Al6 (GGA-PBE)

Data for a geometry-optimized TbEr5Al6 structure.

Summary:
N(E_F): 4.52 states/eV/cell
Electronic total energy: -4.553 eV/atom

Cell: 5.0561 7.1395 7.9921 Å, 90.00 108.24 90.00°
Closest atoms and distances in Å follow each position.
Space group P2/m (No. 10)
Symmetry-distinct sites (fractional):
Tb: 0.0000 0.0000 0.0000  8 Al 3.10-3.12
Er: 0.0000 0.5000 0.0000  8 Al 3.09-3.10
Er: 0.3330 0.0000 0.6658  8 Al 3.09-3.11
Er: 0.3343 0.5000 0.6685  8 Al 3.08-3.09
Al: 0.1676 0.2522 0.3354  7 Er 3.09-3.10, 1 Tb 3.12
Al: 0.5000 0.2514 0.0000  6 Er 3.08-3.11, 2 Tb 3.10



Entry 2:
## SrTmGa (GGA-PBE)

Data for a geometry-optimized SrTmGa structure.

Summary:
N(E_F): 6.65 states/eV/cell
Energy above the most stable polymorph in this dataset: 0.0 meV per atom

Cell: 3.7148 3.7148 13.3260 Å, 90.00 90.00 90.00°
Closest atoms and distances in Å follow each position.
Space group I4mm (No. 107)
Symmetry-distinct sites (fractional):
Sr: 0.0000 0.0000 0.0000  4 Ga 3.42, 1 Tm 3.61, 4 Sr 3.71
Tm: 0.0000 0.0000 0.2711  4 Ga 2.99
Ga: 0.0000 0.0000 0.6644  4 Tm 2.99



Entry 3:
## Y3FeAg (GGA-PBE)

Data for a geometry-optimized Y3FeAg structure.

Summary:
N(E_F): 10.68 states/eV/cell
Energy above the most stable polymorph in this dataset: 0.0 meV per atom

Cell: 8.4047 3.7305 8.5610 Å, 90.00 110.98 90.00°
Closest atoms and distances in Å follow each position.
Space group P2_1/m (No. 11)
Symmetry-distinct sites (fractional):
Y: 0.0569 0.2500 0.1870  2 Ag 2.98, 1 Fe 3.06
Y: 0.2245 0.7500 0.5595  3 Fe 2.90-2.98, 2 Ag 3.16
Y: 0.4080 0.7500 0.1700  3 Fe 2.95-3.11, 3 Ag 3.12-3.15
Fe: 0.4214 0.2500 0.4415  2 Fe 2.30
Ag: 0.2324 0.2500 0.8598  7 Y 2.98-3.16



Entry 4:
## Be2NiSI (GGA-PBE)

Data for a geometry-optimized Be2NiSI structure.

Summary:
Formation energy (no corrections): 1.4140 eV/atom
N(E_F): 2.23 states/eV/cell

Cell: 4.7900 4.7900 4.5528 Å, 90.00 90.00 90.00°
Closest atoms and distances in Å follow each position.
Space group P4/mmm (No. 123)
Symmetry-distinct sites (fractional):
Be: 0.0000 0.5000 0.0000  2 I 2.39
Ni: 0.0000 0.0000 0.5000  2 I 2.28
S: 0.5000 0.5000 0.5000  8 Be 3.30, 4 Ni 3.39
I: 0.0000 0.0000 0.0000  2 Ni 2.28, 4 Be 2.39



Entry 5:
## CaNbAu (GGA-PBE)

Data for a geometry-optimized CaNbAu structure.

Summary:
N(E_F): 4.71 states/eV/cell
Energy above the most stable polymorph in this dataset: 125.7 meV per atom

Cell: 3.2760 4.7682 8.4975 Å, 90.00 93.43 90.00°
Closest atoms and distances in Å follow each position.
Space group P2_1/m (No. 11)
Symmetry-distinct sites (fractional):
Ca: 0.0248 0.2500 0.2034  6 Au 2.96-3.20, 1 Nb 3.27, 2 Ca 3.28
Nb: 0.3869 0.7500 0.4552  2 Nb 2.60
Au: 0.4790 0.2500 0.8803  1 Nb 2.91, 6 Ca 2.96-3.20, 2 Au 3.13



Entry 6:
## DyGa4CuNi2 (GGA-PBE)

Data for a geometry-optimized DyGa4CuNi2 structure.

Summary:
N(E_F): 10.72 states/eV/cell
Electronic total energy: -4.440 eV/atom

Cell: 4.1132 4.1132 25.6721 Å, 90.00 90.00 120.00°
Closest atoms and distances in Å follow each position.
Space group R-3m (No. 166, hexagonal axes)
Symmetry-distinct sites (fractional):
Dy: 0.0000 0.0000 0.0000  6 Ga 2.94
Ga: 0.0000 0.0000 0.1288  4 Ni 2.50-2.72, 3 Cu 2.57
Ga: 0.0000 0.0000 0.4011  3 Ni 2.50, 1 Cu 2.54
Cu: 0.0000 0.0000 0.5000  8 Ga 2.54-2.57
Ni: 0.0000 0.0000 0.2346  7 Ga 2.50-2.72



Q: Look up the N(E_F) of the fourth one.
A: 2.23 states/eV/cell



Q: Which of these has the lowest N(E_F)?
A: Be2NiSI